1.
{
  "formula": "Sm3PN2",
  "functional": "PBE-GGA",
  "state": "relaxed",
  "lattice": [[3.711, 0.000, 0.000], [-1.856, 3.214, 0.000], [0.000, 0.000, 9.337]],
  "species": ["Sm", "Sm", "Sm", "P", "N", "N"],
  "fractional_positions": [[0.000, 0.000, 0.000], [0.333, 0.667, 0.696], [0.667, 0.333, 0.304], [0.000, 0.000, 0.500], [0.333, 0.667, 0.154], [0.667, 0.333, 0.846]],
  "total_magnetization_mub_per_cell": 0.00,
  "crystal_system": "trigonal",
  "e_tot_ev_per_atom": -7.437
}



2.
{
  "formula": "SmPN2",
  "functional": "PBE-GGA",
  "state": "relaxed",
  "lattice": [[3.444, -3.059, 0.000], [3.444, 3.059, 0.000], [-3.079, 0.000, 5.974]],
  "species": ["Sm", "Sm", "P", "P", "N", "N", "N", "N"],
  "fractional_positions": [[0.149, 0.851, 0.750], [0.851, 0.149, 0.250], [0.350, 0.650, 0.250], [0.650, 0.350, 0.750], [0.077, 0.665, 0.351], [0.335, 0.923, 0.149], [0.665, 0.077, 0.851], [0.923, 0.335, 0.649]],
  "total_magnetization_mub_per_cell": 0.00,
  "crystal_system": "monoclinic",
  "e_tot_ev_per_atom": -7.661
}



3.
{
  "formula": "SnPW4N2",
  "functional": "PBE-GGA",
  "state": "relaxed",
  "lattice": [[3.018, 0.000, 0.000], [-1.509, 2.614, 0.000], [0.000, 0.000, 13.585]],
  "species": ["Sn", "P", "W", "W", "W", "W", "N", "N"],
  "fractional_positions": [[0.000, 0.000, 0.000], [0.333, 0.667, 0.500], [0.000, 0.000, 0.371], [0.000, 0.000, 0.629], [0.333, 0.667, 0.174], [0.333, 0.667, 0.826], [0.667, 0.333, 0.268], [0.667, 0.333, 0.732]],
  "total_magnetization_mub_per_cell": 0.01,
  "crystal_system": "hexagonal",
  "e_tot_ev_per_atom": -9.471
}



Please write out number 2 again, unchanged.
{
  "formula": "SmPN2",
  "functional": "PBE-GGA",
  "state": "relaxed",
  "lattice": [[3.444, -3.059, 0.000], [3.444, 3.059, 0.000], [-3.079, 0.000, 5.974]],
  "species": ["Sm", "Sm", "P", "P", "N", "N", "N", "N"],
  "fractional_positions": [[0.149, 0.851, 0.750], [0.851, 0.149, 0.250], [0.350, 0.650, 0.250], [0.650, 0.350, 0.750], [0.077, 0.665, 0.351], [0.335, 0.923, 0.149], [0.665, 0.077, 0.851], [0.923, 0.335, 0.649]],
  "total_magnetization_mub_per_cell": 0.00,
  "crystal_system": "monoclinic",
  "e_tot_ev_per_atom": -7.661
}